(1)
The following is a DFT calculation (PBE-GGA) of a relaxed TlCdHg2 crystal.

Unit cell a=3.571 b=3.571 c=8.389 alpha=90.00 beta=90.00 gamma=90.00
Atoms (fractional coordinates):
Tl  0.000  0.000  0.000
Cd  0.500  0.500  0.269
Hg  0.000  0.000  0.493
Hg  0.500  0.500  0.732

Summary:
Crystal system: tetragonal
VASP energy, eV per atom: -0.96
Space-group type: P4mm
DFT formation energy, eV/atom: 0.0123
ΔE to the lowest computed polymorph, meV per atom: 19
Size of the total moment, μB per cell: 0.00

(2)
The following is a DFT calculation (PBE-GGA) of a relaxed TlCd6Hg12 crystal.

Unit cell a=8.833 b=8.833 c=8.833 alpha=111.55 beta=111.55 gamma=111.55
Atoms (fractional coordinates):
Tl  0.000  0.000  0.000
Cd  0.012  0.537  0.348
Cd  0.348  0.012  0.537
Cd  0.463  0.652  0.988
Cd  0.537  0.348  0.012
Cd  0.652  0.988  0.463
Cd  0.988  0.463  0.652
Hg  0.098  0.202  0.758
Hg  0.202  0.758  0.098
Hg  0.235  0.297  0.497
Hg  0.242  0.902  0.798
Hg  0.297  0.497  0.235
Hg  0.497  0.235  0.297
Hg  0.503  0.765  0.703
Hg  0.703  0.503  0.765
Hg  0.758  0.098  0.202
Hg  0.765  0.703  0.503
Hg  0.798  0.242  0.902
Hg  0.902  0.798  0.242

Summary:
Crystal system: trigonal
VASP energy, eV per atom: -0.58
Space-group type: R-3
DFT formation energy, eV/atom: 0.0234
ΔE to the lowest computed polymorph, meV per atom: 0
Size of the total moment, μB per cell: 0.00